A geometry-optimized YLuBi structure. Source: the Alexandria database, functional PBE-GGA.

* energy of formation from the pure elements: -0.443 eV per atom
* total DFT energy (no corrections): -5.3982 eV per atom

a = 6.126 Å, b = 6.126 Å, c = 6.126 Å
α = 141.85°, β = 141.85°, γ = 55.06°
Element x y z (fractional)
Y (0.000, 0.000, 0.000)
Lu (0.315, 0.315, 0.000)
Bi (0.661, 0.661, 0.000)


A geometry-optimized Lu2ZnBi structure. Source: the Alexandria database, functional PBE-GGA.

* ΔE to the lowest computed polymorph: 7.8 meV/atom
* energy of formation from the pure elements: -0.345 eV per atom
* total DFT energy (no corrections): -3.8941 eV per atom

a = 6.116 Å, b = 6.116 Å, c = 6.116 Å
α = 45.29°, β = 45.29°, γ = 45.29°
Element x y z (fractional)
Lu (0.237, 0.237, 0.237)
Lu (0.763, 0.763, 0.763)
Zn (0.500, 0.500, 0.500)
Bi (0.000, 0.000, 0.000)


A geometry-optimized LuZnBi structure. Source: the Alexandria database, functional PBE-GGA.

* energy of formation from the pure elements: -0.285 eV per atom
* total DFT energy (no corrections): -3.5107 eV per atom

a = 4.448 Å, b = 4.448 Å, c = 4.406 Å
α = 90.00°, β = 90.00°, γ = 120.00°
Element x y z (fractional)
Lu (0.000, 0.000, 0.000)
Zn (0.667, 0.333, 0.718)
Bi (0.333, 0.667, 0.435)


A geometry-optimized Lu2ZnBi structure. Source: the Alexandria database, functional PBE-GGA.

* ΔE to the lowest computed polymorph: 0.0 meV/atom
* energy of formation from the pure elements: -0.353 eV per atom
* total DFT energy (no corrections): -3.9020 eV per atom

a = 3.633 Å, b = 3.633 Å, c = 7.569 Å
α = 90.00°, β = 90.00°, γ = 90.00°
Element x y z (fractional)
Lu (0.000, 0.000, 0.224)
Lu (0.000, 0.000, 0.776)
Zn (0.500, 0.500, 0.000)
Bi (0.500, 0.500, 0.500)


A geometry-optimized Lu2ZrBi structure. Source: the Alexandria database, functional PBE-GGA.

* ΔE to the lowest computed polymorph: 57.4 meV/atom
* energy of formation from the pure elements: -0.197 eV per atom
* total DFT energy (no corrections): -5.5644 eV per atom

a = 4.787 Å, b = 4.787 Å, c = 4.505 Å
α = 90.00°, β = 90.00°, γ = 90.00°
Element x y z (fractional)
Lu (0.000, 0.500, 0.000)
Lu (0.500, 0.000, 0.000)
Zr (0.000, 0.000, 0.500)
Bi (0.500, 0.500, 0.500)


A geometry-optimized Lu2ZrBi structure. Source: the Alexandria database, functional PBE-GGA.

* ΔE to the lowest computed polymorph: 0.0 meV/atom
* energy of formation from the pure elements: -0.254 eV per atom
* total DFT energy (no corrections): -5.6218 eV per atom

a = 3.894 Å, b = 3.894 Å, c = 7.043 Å
α = 90.00°, β = 90.00°, γ = 90.00°
Element x y z (fractional)
Lu (0.000, 0.000, 0.248)
Lu (0.000, 0.000, 0.752)
Zr (0.500, 0.500, 0.500)
Bi (0.500, 0.500, 0.000)


A geometry-optimized Mg3Bi structure. Source: the Alexandria database, functional PBE-GGA.

* energy of formation from the pure elements: -0.035 eV per atom
* total DFT energy (no corrections): -2.2015 eV per atom

a = 6.270 Å, b = 6.270 Å, c = 6.270 Å
α = 148.79°, β = 62.60°, γ = 127.22°
Element x y z (fractional)
Mg (0.000, 0.000, 0.000)
Mg (0.083, 0.335, 0.748)
Mg (0.587, 0.335, 0.252)
Bi (0.501, 0.001, 0.500)


A geometry-optimized Mg3Bi structure. Source: the Alexandria database, functional PBE-GGA.

* energy of formation from the pure elements: -0.079 eV per atom
* total DFT energy (no corrections): -2.2456 eV per atom

a = 6.403 Å, b = 6.403 Å, c = 5.582 Å
α = 90.00°, β = 90.00°, γ = 120.00°
Element x y z (fractional)
Mg (0.164, 0.329, 0.250)
Mg (0.164, 0.836, 0.250)
Mg (0.329, 0.164, 0.750)
Mg (0.671, 0.836, 0.250)
Mg (0.836, 0.164, 0.750)
Mg (0.836, 0.671, 0.750)
Bi (0.333, 0.667, 0.750)
Bi (0.667, 0.333, 0.250)


A geometry-optimized Mg8Bi structure. Source: the Alexandria database, functional PBE-GGA.

* energy of formation from the pure elements: -0.037 eV per atom
* total DFT energy (no corrections): -1.8861 eV per atom

a = 7.261 Å, b = 7.261 Å, c = 7.261 Å
α = 95.60°, β = 95.60°, γ = 143.61°
Element x y z (fractional)
Mg (0.000, 0.338, 0.338)
Mg (0.000, 0.662, 0.662)
Mg (0.329, 0.329, 0.657)
Mg (0.329, 0.671, 0.000)
Mg (0.338, 0.000, 0.338)
Mg (0.662, 0.000, 0.662)
Mg (0.671, 0.329, 0.000)
Mg (0.671, 0.671, 0.343)
Bi (0.000, 0.000, 0.000)


A geometry-optimized Mg7Bi structure. Source: the Alexandria database, functional PBE-GGA.

* ΔE to the lowest computed polymorph: 0.0 meV/atom
* energy of formation from the pure elements: -0.042 eV per atom
* total DFT energy (no corrections): -1.9222 eV per atom

a = 6.462 Å, b = 6.462 Å, c = 6.462 Å
α = 60.00°, β = 60.00°, γ = 60.00°
Element x y z (fractional)
Mg (0.000, 0.000, 0.000)
Mg (0.000, 0.000, 0.500)
Mg (0.000, 0.500, 0.000)
Mg (0.000, 0.500, 0.500)
Mg (0.500, 0.000, 0.000)
Mg (0.500, 0.000, 0.500)
Mg (0.500, 0.500, 0.000)
Bi (0.500, 0.500, 0.500)


A geometry-optimized Mg4Bi structure. Source: the Alexandria database, functional PBE-GGA.

* ΔE to the lowest computed polymorph: 0.0 meV/atom
* energy of formation from the pure elements: -0.068 eV per atom
* total DFT energy (no corrections): -2.1194 eV per atom

a = 5.693 Å, b = 5.693 Å, c = 5.693 Å
α = 98.95°, β = 98.95°, γ = 133.54°
Element x y z (fractional)
Mg (0.099, 0.695, 0.794)
Mg (0.305, 0.099, 0.405)
Mg (0.695, 0.901, 0.595)
Mg (0.901, 0.305, 0.206)
Bi (0.500, 0.500, 0.000)


A geometry-optimized MgBi6 structure. Source: the Alexandria database, functional PBE-GGA.

* energy of formation from the pure elements: 0.375 eV per atom
* total DFT energy (no corrections): -3.1793 eV per atom

a = 7.670 Å, b = 7.670 Å, c = 7.670 Å
α = 109.47°, β = 109.47°, γ = 109.47°
Element x y z (fractional)
Mg (0.000, 0.000, 0.000)
Bi (0.250, 0.500, 0.750)
Bi (0.250, 0.750, 0.500)
Bi (0.500, 0.250, 0.750)
Bi (0.500, 0.750, 0.250)
Bi (0.750, 0.250, 0.500)
Bi (0.750, 0.500, 0.250)


> What is the energy of formation from the pure elements in the tenth record?

-0.042 eV per atom


> Which value of energy of formation from the pure elements does entry 10 give?

-0.042 eV per atom